1.
DFT (PBE-GGA) results for an optimized crystal structure of Ba3Bi3Pt.

Summary:
Its total DFT energy (no corrections) is -57.76 eV per cell. The calculation puts the formation energy at -0.776 eV per atom.

Cell lengths 4.8337, 6.8824, 17.0691 Å; angles 90.20, 81.86, 69.44 degrees
Last column: nearest neighbours and their distance in Å.
Fractional positions:
Pt: 0.7820 0.0407 0.3953  4 Bi 2.81-2.93
Pt: 0.2180 0.9593 0.6047  4 Bi 2.81-2.93
Ba: 0.4054 0.2747 0.9145  7 Bi 3.57-3.78, 1 Ba 3.87
Ba: 0.7141 0.8154 0.7565  6 Bi 3.66-3.84, 2 Pt 3.68, 1 Ba 3.87
Ba: 0.5110 0.3726 0.6054  7 Bi 3.50-3.92, 3 Pt 3.60-3.78
Ba: 0.2859 0.1846 0.2435  6 Bi 3.66-3.84, 2 Pt 3.68, 1 Ba 3.87
Ba: 0.4890 0.6274 0.3946  7 Bi 3.50-3.92, 3 Pt 3.60-3.78
Ba: 0.5946 0.7253 0.0855  7 Bi 3.57-3.78, 1 Ba 3.87
Bi: 0.8812 0.1706 0.0671  1 Bi 3.07
Bi: 0.8264 0.8080 0.5392  3 Pt 2.81-2.93
Bi: 0.1736 0.1920 0.4608  3 Pt 2.81-2.93
Bi: 0.1188 0.8294 0.9329  1 Bi 3.07
Bi: 0.9906 0.7618 0.2570  1 Pt 2.87
Bi: 0.0094 0.2382 0.7430  1 Pt 2.87

***

2.
DFT (PBE-GGA) results for an optimized crystal structure of HoThPd5.

Summary:
Its total DFT energy (no corrections) is -43.11 eV per cell. The calculation puts the formation energy at -0.736 eV per atom.

Cell lengths 4.1432, 4.1432, 8.3299 Å; angles 90.00, 90.00, 90.00 degrees
Last column: nearest neighbours and their distance in Å.
Fractional positions:
Pd: 0.5000 0.0000 0.7562  2 Ho 2.90, 6 Pd 2.93-2.97, 2 Th 2.97
Pd: 0.0000 0.5000 0.2438  2 Ho 2.90, 6 Pd 2.93-2.97, 2 Th 2.97
Pd: 0.5000 0.5000 0.5000  4 Th 2.93, 8 Pd 2.97
Pd: 0.0000 0.5000 0.7562  2 Ho 2.90, 6 Pd 2.93-2.97, 2 Th 2.97
Pd: 0.5000 0.0000 0.2438  2 Ho 2.90, 6 Pd 2.93-2.97, 2 Th 2.97
Th: 0.0000 0.0000 0.5000  12 Pd 2.93-2.97
Ho: 0.5000 0.5000 0.0000  8 Pd 2.90

***

3.
DFT (PBE-GGA) results for an optimized crystal structure of CeAlZn6Ga.

Summary:
Its total DFT energy (no corrections) is -37.80 eV per cell. The calculation puts the formation energy at 0.161 eV per atom.

Cell lengths 5.2656, 10.0898, 8.8403 Å; angles 124.80, 107.33, 90.00 degrees
Last column: nearest neighbours and their distance in Å.
Fractional positions:
Zn: 0.9512 0.2012 0.9024  6 Zn 2.99-3.03, 2 Al 3.02, 1 Ce 3.34
Zn: 0.6013 0.8679 0.6897  1 Ga 2.51, 3 Zn 2.56-2.70, 1 Al 2.63
Zn: 0.3987 0.1321 0.3103  1 Ga 2.51, 3 Zn 2.56-2.70, 1 Al 2.63
Zn: 0.3987 0.6782 0.3103  1 Ga 2.51, 3 Zn 2.56-2.70, 1 Al 2.63
Zn: 0.0488 0.7988 0.0976  6 Zn 2.99-3.03, 2 Al 3.02, 1 Ce 3.34
Zn: 0.5617 0.3117 0.1235  2 Ga 2.66
Zn: 0.4383 0.6883 0.8765  2 Ga 2.66
Zn: 0.9116 0.1321 0.3103  1 Ga 2.51, 3 Zn 2.56-2.70, 1 Al 2.63
Zn: 0.0884 0.8679 0.6897  1 Ga 2.51, 3 Zn 2.56-2.70, 1 Al 2.63
Zn: 0.0884 0.3218 0.6897  1 Ga 2.51, 3 Zn 2.56-2.70, 1 Al 2.63
Zn: 0.9116 0.6782 0.3103  1 Ga 2.51, 3 Zn 2.56-2.70, 1 Al 2.63
Zn: 0.6013 0.3218 0.6897  1 Ga 2.51, 3 Zn 2.56-2.70, 1 Al 2.63
Ce: 0.8020 0.5520 0.6039  2 Ce 2.98, 8 Zn 3.09-3.34
Ce: 0.1980 0.4480 0.3961  2 Ce 2.98, 8 Zn 3.09-3.34
Ga: 0.5000 0.0000 0.0000  6 Zn 2.51-2.66
Ga: 0.5000 0.5000 0.0000  6 Zn 2.51-2.66
Al: 0.5000 0.0000 0.5000  4 Zn 2.63, 2 Al 2.63
Al: 0.0000 0.0000 0.5000  4 Zn 2.63, 2 Al 2.63